Record 1
# GGA-PBE K23Rb6Tl, optimized geometry
data_K23Rb6Tl
_cell_length_a 20.814
_cell_length_b 20.814
_cell_length_c 20.814
_cell_angle_alpha 90.00
_cell_angle_beta 90.00
_cell_angle_gamma 90.00
_space_group_name_H-M_alt 'F m -3 m'
_space_group_IT_number 225
_space_group_name_Hall '-F 4 2 3'
loop_
_atom_site_label
_atom_site_fract_x
_atom_site_fract_y
_atom_site_fract_z
_atom_site_occupancy
K1 0.000 0.000 0.000 1
K2 0.000 0.250 0.250 1
K3 0.118 0.118 0.118 1
K4 0.167 0.167 0.333 1
Rb1 0.000 0.000 0.312 1
Tl1 0.000 0.000 0.500 1
# **DFT formation energy**: 0.031 eV per atom

***

Record 2
# GGA-PBE K4RbTl, optimized geometry
data_K4RbTl
_cell_length_a 21.829
_cell_length_b 9.980
_cell_length_c 7.512
_cell_angle_alpha 90.00
_cell_angle_beta 110.12
_cell_angle_gamma 90.00
_space_group_name_H-M_alt 'C 1 2/m 1'
_space_group_IT_number 12
loop_
_space_group_symop_operation_xyz
'x,y,z'
'-x,-y,-z'
'-x,y,-z'
'x,-y,z'
'x+1/2,y+1/2,z'
'-x+1/2,-y+1/2,-z'
'-x+1/2,y+1/2,-z'
'x+1/2,-y+1/2,z'
loop_
_atom_site_label
_atom_site_fract_x
_atom_site_fract_y
_atom_site_fract_z
_atom_site_occupancy
K1 0.000 0.207 0.000 1
K2 0.112 0.233 0.613 1
K3 0.157 0.500 0.158 1
Rb1 0.207 0.000 0.207 1
Tl1 0.000 0.500 0.293 1
# **DFT formation energy**: -0.019 eV per atom
# **Energy above the lowest structure with this stoichiometry**: 0.0000 eV/atom

***

Record 3
# GGA-PBE K4RbTl, optimized geometry
data_K4RbTl
_cell_length_a 11.536
_cell_length_b 11.536
_cell_length_c 11.536
_cell_angle_alpha 90.00
_cell_angle_beta 90.00
_cell_angle_gamma 90.00
_space_group_name_H-M_alt 'F -4 3 m'
_space_group_IT_number 216
_space_group_name_Hall 'F -4 2 3'
loop_
_atom_site_label
_atom_site_fract_x
_atom_site_fract_y
_atom_site_fract_z
_atom_site_occupancy
K1 0.124 0.124 0.376 1
Rb1 0.000 0.000 0.000 1
Tl1 0.250 0.250 0.750 1
# **DFT formation energy**: 0.135 eV per atom
# **Energy above the lowest structure with this stoichiometry**: 0.1540 eV/atom

***

Record 4
# GGA-PBE K12RbTl6, optimized geometry
data_K12RbTl6
_cell_length_a 15.4441
_cell_length_b 15.4441
_cell_length_c 14.4930
_cell_angle_alpha 90.00
_cell_angle_beta 90.00
_cell_angle_gamma 120.00
_space_group_name_H-M_alt 'R -3'
_space_group_IT_number 148
_space_group_name_Hall '-R 3'
loop_
_atom_site_label
_atom_site_fract_x
_atom_site_fract_y
_atom_site_fract_z
_atom_site_occupancy
K1 0.0264 0.2961 0.4404 1
K2 0.0714 0.8881 0.7808 1
Rb1 0.0000 0.0000 0.5000 1
Tl1 0.0831 0.8681 0.0401 1
# **DFT formation energy**: -0.016 eV per atom